Density functional theory data (PBE) for RbInAg2F8 after structural relaxation.

abc: 4.932 5.330 8.185
angles: 84.12 90.30 86.48
Each line ends with the local moment (μB).
Positions (direct):
Rb1 0.000 0.000 0.500  0.00
In1 0.000 0.000 0.000  0.02
Ag1 0.470 0.489 0.780  0.54
Ag2 0.530 0.511 0.220  0.54
F1 0.166 0.768 0.207  0.08
F2 0.667 0.762 0.019  0.07
F3 0.857 0.232 0.178  0.08
F4 0.834 0.232 0.793  0.08
F5 0.333 0.238 0.981  0.07
F6 0.143 0.768 0.822  0.08
F7 0.568 0.718 0.578  0.19
F8 0.432 0.282 0.422  0.19

The uncorrected formation energy comes out at -1.847 eV/atom. The electronic total energy comes out at -3.88 eV/atom. The space group is P-1. As for the crystal system: triclinic. The calculation puts the calculated density at 4.4 g cm⁻³.